Entry 1:
! AcSmPtBr GGA-PBE optimized geometry; values from VASP
&SYSTEM
  ibrav = 0, nat = 4, ntyp = 4
/
ATOMIC_SPECIES
Pt 195.08 Pt.upf
Ac 227.00 Ac.upf
Br 79.90 Br.upf
Sm 150.36 Sm.upf
CELL_PARAMETERS angstrom
4.2882 -0.0003 -0.0006
-2.1434 3.7138 0.0001
-2.1444 -1.2377 8.0559
ATOMIC_POSITIONS crystal
Pt 0.3136 0.5547 0.8836
Ac 0.5061 0.1509 0.6724
Br 0.9577 0.3770 0.3495
Sm 0.1005 0.9482 0.0640
! Total DFT energy (no corrections) = -5.41 eV per atom

Entry 2:
! Ac3SnPtBr GGA-PBE optimized geometry; values from VASP
&SYSTEM
  ibrav = 0, nat = 12, ntyp = 4
/
ATOMIC_SPECIES
Pt 195.08 Pt.upf
Ac 227.00 Ac.upf
Sn 118.71 Sn.upf
Br 79.90 Br.upf
CELL_PARAMETERS angstrom
4.4044 0.0000 0.0000
0.0000 8.0097 0.0936
0.0000 -2.7838 12.0286
ATOMIC_POSITIONS crystal
Pt 0.7500 0.2317 0.9453
Pt 0.2500 0.7683 0.0547
Ac 0.7500 0.2860 0.4951
Ac 0.2500 0.9510 0.8592
Ac 0.7500 0.0490 0.1408
Ac 0.2500 0.7140 0.5049
Ac 0.7500 0.5447 0.1457
Ac 0.2500 0.4553 0.8543
Sn 0.7500 0.6439 0.6954
Sn 0.2500 0.3561 0.3046
Br 0.7500 0.8829 0.3691
Br 0.2500 0.1171 0.6309
! Total DFT energy (no corrections) = -5.04 eV per atom

Entry 3:
! AcTbPtBr GGA-PBE optimized geometry; values from VASP
&SYSTEM
  ibrav = 0, nat = 4, ntyp = 4
/
ATOMIC_SPECIES
Br 79.90 Br.upf
Ac 227.00 Ac.upf
Tb 158.93 Tb.upf
Pt 195.08 Pt.upf
CELL_PARAMETERS angstrom
-3.1926 2.4750 1.3263
2.0225 -2.5223 2.7606
6.6634 5.0726 -0.2436
ATOMIC_POSITIONS crystal
Br 0.9565 0.3765 0.3477
Ac 0.5055 0.1507 0.6714
Tb 0.0994 0.9474 0.0625
Pt 0.3165 0.5561 0.8880
! Total DFT energy (no corrections) = -5.38 eV per atom